# 1
A relaxed structure of CeHoGaCu. Source: Alexandria via LeMat-Bulk, functional PBE-GGA.

Spin magnetization: 0.2268 μB per atom
VASP energy: -4.72 eV per atom
Energy of formation: -7.19 kcal/mol of atoms
SG: No. 216

Unit cell a=5.039 b=5.039 c=5.039 alpha=60.00 beta=60.00 gamma=60.00
Site moments in Bohr magnetons follow the coordinates.
Fractional coordinates of all 4 atoms:
Ga 0.250 0.250 0.250  -0.02
Cu 0.750 0.750 0.750  0.03
Ho 0.000 0.000 0.000  0.13
Ce 0.500 0.500 0.500  0.56



# 2
A relaxed structure of Cs2Ga17. Source: Alexandria via LeMat-Bulk, functional PBE-GGA.

Spin magnetization: 0.0000 μB per atom
VASP energy: -2.80 eV per atom
Energy of formation: -0.03 kcal/mol of atoms
SG: No. 166

Unit cell a=7.570 b=7.570 c=7.570 alpha=83.58 beta=83.58 gamma=83.58
Fractional coordinates of all 19 atoms:
Cs 0.655 0.655 0.655
Cs 0.345 0.345 0.345
Ga 0.342 0.342 0.854
Ga 0.342 0.854 0.342
Ga 0.096 0.096 0.096
Ga 0.904 0.904 0.904
Ga 0.000 0.000 0.500
Ga 0.500 0.000 0.000
Ga 0.000 0.500 0.000
Ga 0.282 0.718 0.000
Ga 0.000 0.282 0.718
Ga 0.718 0.000 0.282
Ga 0.718 0.282 0.000
Ga 0.000 0.718 0.282
Ga 0.282 0.000 0.718
Ga 0.658 0.146 0.658
Ga 0.658 0.658 0.146
Ga 0.146 0.658 0.658
Ga 0.854 0.342 0.342



# 3
A relaxed structure of Ca2Sn2Au. Source: Alexandria via LeMat-Bulk, functional PBE-GGA.

Spin magnetization: 0.0000 μB per atom
VASP energy: -3.44 eV per atom
Energy of formation: -8.82 kcal/mol of atoms
SG: No. 127

Unit cell a=8.283 b=8.283 c=4.437 alpha=90.00 beta=90.00 gamma=90.00
Fractional coordinates of all 10 atoms:
Ca 0.320 0.820 0.000
Ca 0.820 0.680 0.000
Ca 0.680 0.180 0.000
Ca 0.180 0.320 0.000
Au 0.000 0.000 0.000
Au 0.500 0.500 0.000
Sn 0.119 0.619 0.500
Sn 0.619 0.881 0.500
Sn 0.881 0.381 0.500
Sn 0.381 0.119 0.500



# 4
A relaxed structure of ZnAgMo2. Source: Alexandria via LeMat-Bulk, functional PBE-GGA.

Spin magnetization: 0.0000 μB per atom
VASP energy: -5.77 eV per atom
Energy of formation: 15.58 kcal/mol of atoms
SG: No. 122

Unit cell a=3.679 b=3.679 c=10.430 alpha=79.84 beta=79.84 gamma=90.00
Fractional coordinates of all 8 atoms:
Mo 0.613 0.125 0.250
Mo 0.137 0.625 0.250
Mo 0.375 0.387 0.750
Mo 0.875 0.863 0.750
Zn 0.500 0.500 0.000
Zn 0.250 0.750 0.500
Ag 0.000 0.000 0.000
Ag 0.750 0.250 0.500



# 5
A relaxed structure of TaBi2F2. Source: Alexandria via LeMat-Bulk, functional PBE-GGA.

Spin magnetization: 0.0000 μB per atom
E above lowest polymorph: 191 meV/atom
VASP energy: -5.24 eV per atom
SG: No. 127
E_form (uncorrected): -569 meV/atom

Unit cell a=7.839 b=7.839 c=3.054 alpha=90.00 beta=90.00 gamma=90.00
Fractional coordinates of all 10 atoms:
F 0.383 0.883 0.000
F 0.883 0.617 0.000
F 0.617 0.117 0.000
F 0.117 0.383 0.000
Bi 0.198 0.698 0.500
Bi 0.698 0.802 0.500
Bi 0.802 0.302 0.500
Bi 0.302 0.198 0.500
Ta 0.000 0.000 0.000
Ta 0.500 0.500 0.000



# 6
A relaxed structure of AlSn2Bi. Source: Alexandria via LeMat-Bulk, functional PBE-GGA.

Spin magnetization: 0.0000 μB per atom
E above lowest polymorph: 106 meV/atom
VASP energy: -3.69 eV per atom
Energy of formation: 4.97 kcal/mol of atoms
SG: No. 225

Unit cell a=5.354 b=5.354 c=5.354 alpha=60.00 beta=60.00 gamma=60.00
Fractional coordinates of all 4 atoms:
Al 0.000 0.000 0.000
Bi 0.500 0.500 0.500
Sn 0.250 0.250 0.250
Sn 0.750 0.750 0.750



# 7
A relaxed structure of Na2MgHAu. Source: Alexandria via LeMat-Bulk, functional PBE-GGA.

Spin magnetization: 0.0000 μB per atom
VASP energy: -2.32 eV per atom
SG: No. 123

Unit cell a=4.415 b=4.415 c=4.566 alpha=90.00 beta=90.00 gamma=90.00
Fractional coordinates of all 5 atoms:
Na 0.000 0.500 0.000
Na 0.500 0.000 0.000
Mg 0.000 0.000 0.500
Au 0.500 0.500 0.500
H 0.000 0.000 0.000



# 8
A relaxed structure of Tm4NiTeSe2. Source: Alexandria via LeMat-Bulk, functional PBE-GGA.

Spin magnetization: 0.0000 μB per atom
VASP energy: -5.43 eV per atom
SG: No. 10
E_form (uncorrected): -1211 meV/atom

Unit cell a=3.959 b=7.215 c=7.188 alpha=108.13 beta=90.00 gamma=90.00
Fractional coordinates of all 8 atoms:
Tm 0.500 0.278 0.251
Tm 0.500 0.722 0.749
Tm 0.000 0.287 0.775
Tm 0.000 0.713 0.225
Ni 0.500 0.500 0.000
Te 0.000 0.000 0.000
Se 0.500 0.000 0.500
Se 0.000 0.500 0.500



# 9
A relaxed structure of LaCeMg2Hg4. Source: Alexandria via LeMat-Bulk, functional PBE-GGA.

Spin magnetization: 0.1087 μB per atom
VASP energy: -2.35 eV per atom
Energy of formation: -10.25 kcal/mol of atoms
SG: No. 166

Unit cell a=5.219 b=5.219 c=9.060 alpha=73.26 beta=73.26 gamma=60.00
Site moments in Bohr magnetons follow the coordinates.
Fractional coordinates of all 8 atoms:
La 0.000 0.000 0.000  -0.01
Ce 0.500 0.500 0.500  0.77
Mg 0.751 0.751 0.747  0.00
Mg 0.249 0.249 0.253  0.00
Hg 0.376 0.376 0.871  0.00
Hg 0.874 0.874 0.379  0.01
Hg 0.126 0.126 0.621  0.01
Hg 0.624 0.624 0.129  0.00



# 10
A relaxed structure of NaTl6O8. Source: Alexandria via LeMat-Bulk, functional PBE-GGA.

Spin magnetization: 0.0000 μB per atom
E above lowest polymorph: 0 meV/atom
VASP energy: -4.33 eV per atom
SG: No. 147
E_form (uncorrected): -655 meV/atom

Unit cell a=3.815 b=9.582 c=9.582 alpha=120.00 beta=90.00 gamma=90.00
Fractional coordinates of all 15 atoms:
Na 0.500 0.000 0.000
Tl 0.762 0.596 0.764
Tl 0.762 0.236 0.832
Tl 0.762 0.168 0.404
Tl 0.238 0.404 0.236
Tl 0.238 0.764 0.168
Tl 0.238 0.832 0.596
O 0.735 0.743 0.035
O 0.735 0.965 0.708
O 0.735 0.292 0.257
O 0.265 0.257 0.965
O 0.265 0.035 0.292
O 0.265 0.708 0.743
O 0.158 0.667 0.333
O 0.842 0.333 0.667



# 11
A relaxed structure of Na2CoCuB. Source: Alexandria via LeMat-Bulk, functional PBE-GGA.

Spin magnetization: 0.1619 μB per atom
VASP energy: -3.33 eV per atom
Energy of formation: 17.76 kcal/mol of atoms
SG: No. 123

Unit cell a=5.006 b=3.737 c=5.006 alpha=90.00 beta=90.00 gamma=90.00
Site moments in Bohr magnetons follow the coordinates.
Fractional coordinates of all 5 atoms:
Na 0.000 0.000 0.500  -0.01
Na 0.500 0.000 0.000  0.00
B 0.000 0.000 0.000  -0.06
Co 0.000 0.500 0.000  0.91
Cu 0.500 0.500 0.500  0.01



# 12
A relaxed structure of Er4Te2AsSe. Source: Alexandria via LeMat-Bulk, functional PBE-GGA.

Spin magnetization: 0.0000 μB per atom
VASP energy: -5.56 eV per atom
SG: No. 10
E_form (uncorrected): -1473 meV/atom

Unit cell a=4.159 b=7.398 c=7.179 alpha=71.04 beta=90.00 gamma=90.00
Fractional coordinates of all 8 atoms:
Er 0.000 0.715 0.757
Er 0.000 0.285 0.243
Er 0.500 0.715 0.267
Er 0.500 0.285 0.733
Te 0.000 0.000 0.000
Te 0.500 0.000 0.500
As 0.000 0.500 0.500
Se 0.500 0.500 0.000



Q: Number 6 is which compound?
A: AlSn2Bi



Q: spin magnetization of number 3 (Ca2Sn2Au)?
A: 0.0000 μB per atom



Q: What is the formula in the sixth record?
A: AlSn2Bi



Q: The highest spin magnetization belongs to which entry?
A: CeHoGaCu